1.
This record from the Alexandria database describes a relaxed structure of Ru2PtN. The functional is GGA-PBE. Values from VASP.

```
&SYSTEM
  ibrav = 0, nat = 8, ntyp = 3
/
ATOMIC_SPECIES
Ru 101.07 Ru.upf
Pt 195.08 Pt.upf
N 14.01 N.upf
ATOMIC_POSITIONS crystal
Ru 0.5219 0.1250 0.2500
Ru 0.2281 0.6250 0.2500
Ru 0.3750 0.4781 0.7500
Ru 0.8750 0.7719 0.7500
Pt 0.0000 0.0000 0.0000
Pt 0.7500 0.2500 0.5000
N 0.5000 0.5000 0.0000
N 0.2500 0.7500 0.5000
CELL_PARAMETERS angstrom
-3.5061 -3.4928 -3.6602
4.2444 0.3929 -4.4407
1.6498 -3.9002 -3.0343
```

Computed properties:
Total energy, eV/atom: -7.89
DOS at the Fermi energy, states/eV/atom: 1.487
Density, g cm⁻³: 12.59

2.
This record from the Alexandria database describes a relaxed structure of Ce3Ta2N7. The functional is GGA-PBE. Values from VASP.

```
&SYSTEM
  ibrav = 0, nat = 12, ntyp = 3
/
ATOMIC_SPECIES
Ce 140.12 Ce.upf
Ta 180.95 Ta.upf
N 14.01 N.upf
ATOMIC_POSITIONS crystal
Ce 0.5000 0.5000 0.0000
Ce 0.5000 0.6868 0.3736
Ce 0.5000 0.3132 0.6264
Ta 0.0000 0.8997 0.7993
Ta 0.0000 0.1003 0.2007
N 0.0000 0.4059 0.8117
N 0.0000 0.7907 0.5813
N 0.0000 0.0000 0.0000
N 0.0000 0.5941 0.1883
N 0.5000 0.1227 0.2454
N 0.5000 0.8773 0.7546
N 0.0000 0.2093 0.4187
CELL_PARAMETERS angstrom
3.7938 0.0000 0.0000
0.0000 4.1314 0.0000
0.0000 -2.0657 10.2999
```

Computed properties:
Total energy, eV/atom: -9.35
DOS at the Fermi energy, states/eV/atom: 0.705
Density, g cm⁻³: 9.05

3.
This record from the Alexandria database describes a relaxed structure of LaHfMgAg2. The functional is GGA-PBE. Values from VASP.

```
&SYSTEM
  ibrav = 0, nat = 5, ntyp = 4
/
ATOMIC_SPECIES
Mg 24.30 Mg.upf
Hf 178.49 Hf.upf
Ag 107.87 Ag.upf
La 138.91 La.upf
ATOMIC_POSITIONS crystal
Mg 0.0000 0.5000 0.0000
Hf 0.0000 0.0000 0.0000
Ag 0.0000 0.0000 0.5000
Ag 0.5000 0.0000 0.0000
La 0.5000 0.5000 0.5000
CELL_PARAMETERS angstrom
5.1729 0.0000 0.0000
0.0000 5.4301 0.0000
0.0000 0.0000 5.1729
```

Computed properties:
Energy of formation, kJ per mole of atoms: 57.57
DOS at the Fermi energy, states/eV/atom: 1.269
Density, g cm⁻³: 6.37

4.
This record from the Alexandria database describes a relaxed structure of Pm5Er2Tm2. The functional is GGA-PBE. Values from VASP.

```
&SYSTEM
  ibrav = 0, nat = 9, ntyp = 3
/
ATOMIC_SPECIES
Pm 145.00 Pm.upf
Er 167.26 Er.upf
Tm 168.93 Tm.upf
ATOMIC_POSITIONS crystal
Pm 0.4432 0.8864 0.2177
Pm 0.5568 0.1136 0.7823
Pm 0.1131 0.2259 0.5602
Pm 0.8869 0.7741 0.4398
Pm 0.0000 0.0000 0.0000
Er 0.3318 0.6639 0.6630
Er 0.6682 0.3361 0.3370
Tm 0.2221 0.4445 0.1131
Tm 0.7779 0.5555 0.8869
CELL_PARAMETERS angstrom
5.0656 0.0006 0.0008
-2.5344 8.0151 -4.3692
0.0010 -1.3089 7.9173
```

Computed properties:
Energy of formation, kJ per mole of atoms: 2.09
DOS at the Fermi energy, states/eV/atom: 1.423
Density, g cm⁻³: 7.93

5.
This record from the Alexandria database describes a relaxed structure of Mg4Ir. The functional is GGA-PBE. Values from VASP.

```
&SYSTEM
  ibrav = 0, nat = 5, ntyp = 2
/
ATOMIC_SPECIES
Mg 24.30 Mg.upf
Ir 192.22 Ir.upf
ATOMIC_POSITIONS crystal
Mg 0.7500 0.2500 0.5000
Mg 0.4152 0.4152 0.0000
Mg 0.5848 0.5848 0.0000
Mg 0.2500 0.7500 0.5000
Ir 0.0000 0.0000 0.0000
CELL_PARAMETERS angstrom
-1.8025 1.8025 7.8976
1.8025 -1.8025 7.8976
1.8025 1.8025 -7.8976
```

Computed properties:
Energy of formation, kJ per mole of atoms: 33.22
DOS at the Fermi energy, states/eV/atom: 0.470
Density, g cm⁻³: 4.68

6.
This record from the Alexandria database describes a relaxed structure of Tm3AlPd3. The functional is GGA-PBE. Values from VASP.

```
&SYSTEM
  ibrav = 0, nat = 14, ntyp = 3
/
ATOMIC_SPECIES
Tm 168.93 Tm.upf
Al 26.98 Al.upf
Pd 106.42 Pd.upf
ATOMIC_POSITIONS crystal
Tm 0.2064 0.4128 0.8955
Tm 0.7936 0.5872 0.1045
Tm 0.2064 0.4128 0.6045
Tm 0.7936 0.5872 0.3955
Tm 0.4827 0.9654 0.7500
Tm 0.5173 0.0346 0.2500
Al 0.5000 0.0000 0.0000
Al 0.5000 0.0000 0.5000
Pd 0.9198 0.8397 0.9093
Pd 0.0802 0.1603 0.0907
Pd 0.9198 0.8397 0.5907
Pd 0.0802 0.1603 0.4093
Pd 0.7587 0.5174 0.7500
Pd 0.2413 0.4826 0.2500
CELL_PARAMETERS angstrom
-2.4807 -0.9358 3.0721
4.3095 -3.4753 -0.2588
7.3479 8.4776 8.5157
```

Computed properties:
Energy of formation, kJ per mole of atoms: -84.91
DOS at the Fermi energy, states/eV/atom: 0.633
Density, g cm⁻³: 9.61

7.
This record from the Alexandria database describes a relaxed structure of MgAg2Os. The functional is GGA-PBE. Values from VASP.

```
&SYSTEM
  ibrav = 0, nat = 4, ntyp = 3
/
ATOMIC_SPECIES
Ag 107.87 Ag.upf
Mg 24.30 Mg.upf
Os 190.23 Os.upf
ATOMIC_POSITIONS crystal
Ag 0.0000 0.0000 0.9916
Ag 0.5000 0.5000 0.2542
Mg 0.0000 0.0000 0.5109
Os 0.5000 0.5000 0.7432
CELL_PARAMETERS angstrom
-0.4368 1.8460 -2.0421
-0.3718 -2.0882 -1.8082
-8.4164 -0.0338 1.7697
```

Computed properties:
Energy of formation, kJ per mole of atoms: 29.40
DOS at the Fermi energy, states/eV/atom: 0.732
Density, g cm⁻³: 10.69

8.
This record from the Alexandria database describes a relaxed structure of NaInBr2Cl. The functional is GGA-PBE. Values from VASP.

```
&SYSTEM
  ibrav = 0, nat = 5, ntyp = 4
/
ATOMIC_SPECIES
Na 22.99 Na.upf
Cl 35.45 Cl.upf
Br 79.90 Br.upf
In 114.82 In.upf
ATOMIC_POSITIONS crystal
Na 0.5000 0.5000 0.5000
Cl 0.0000 0.0000 0.5000
Br 0.0000 0.5000 0.0000
Br 0.5000 0.0000 0.0000
In 0.0000 0.0000 0.0000
CELL_PARAMETERS angstrom
5.6886 0.0000 0.0000
0.0000 5.6886 0.0000
0.0000 0.0000 5.3705
```

Computed properties:
Total energy, eV/atom: -2.83
DOS at the Fermi energy, states/eV/atom: 0.307
Density, g cm⁻³: 3.18

9.
This record from the Alexandria database describes a relaxed structure of Na7LiPb3. The functional is GGA-PBE. Values from VASP.

```
&SYSTEM
  ibrav = 0, nat = 11, ntyp = 3
/
ATOMIC_SPECIES
Na 22.99 Na.upf
Li 6.94 Li.upf
Pb 207.20 Pb.upf
ATOMIC_POSITIONS crystal
Na 0.1007 0.1669 0.8331
Na 0.1007 0.1669 0.3338
Na 0.0512 0.6667 0.3333
Na 0.4913 0.8359 0.1641
Na 0.4913 0.3281 0.1641
Na 0.4913 0.8359 0.6719
Na 0.1007 0.6662 0.8331
Li 0.4715 0.3333 0.6667
Pb 0.7722 0.4758 0.5242
Pb 0.7722 0.4758 0.9516
Pb 0.7722 0.0484 0.5242
CELL_PARAMETERS angstrom
7.7114 0.0000 0.0000
0.0000 7.5123 0.0000
0.0000 -3.7562 6.5058
```

Computed properties:
Energy of formation, kJ per mole of atoms: -4.14
DOS at the Fermi energy, states/eV/atom: 0.353
Density, g cm⁻³: 3.48

10.
This record from the Alexandria database describes a relaxed structure of ZrTl2Os. The functional is GGA-PBE. Values from VASP.

```
&SYSTEM
  ibrav = 0, nat = 4, ntyp = 3
/
ATOMIC_SPECIES
Os 190.23 Os.upf
Tl 204.38 Tl.upf
Zr 91.22 Zr.upf
ATOMIC_POSITIONS crystal
Os 0.7500 0.2500 0.5000
Tl 0.0000 0.0000 0.0000
Tl 0.2500 0.7500 0.5000
Zr 0.5000 0.5000 0.0000
CELL_PARAMETERS angstrom
-1.4253 -1.3714 -4.8446
-0.8840 -5.1563 0.1159
-1.8436 3.7943 3.0963
```

Computed properties:
Energy of formation, kJ per mole of atoms: 43.23
DOS at the Fermi energy, states/eV/atom: 0.594
Density, g cm⁻³: 13.94

11.
This record from the Alexandria database describes a relaxed structure of CoRu2Br. The functional is GGA-PBE. Values from VASP.

```
&SYSTEM
  ibrav = 0, nat = 4, ntyp = 3
/
ATOMIC_SPECIES
Br 79.90 Br.upf
Co 58.93 Co.upf
Ru 101.07 Ru.upf
ATOMIC_POSITIONS crystal
Br 0.5000 0.5000 0.2500
Co 0.5000 0.5000 0.7500
Ru 0.0000 0.0000 0.9777
Ru 0.0000 0.0000 0.5223
CELL_PARAMETERS angstrom
2.8252 0.0216 0.0000
-1.3888 2.4604 0.0000
0.0000 0.0000 8.8751
```

Computed properties:
Total energy, eV/atom: -5.93
DOS at the Fermi energy, states/eV/atom: 1.439
Density, g cm⁻³: 9.14

12.
This record from the Alexandria database describes a relaxed structure of CaAlAu. The functional is GGA-PBE. Values from VASP.

```
&SYSTEM
  ibrav = 0, nat = 12, ntyp = 3
/
ATOMIC_SPECIES
Ca 40.08 Ca.upf
Al 26.98 Al.upf
Au 196.97 Au.upf
ATOMIC_POSITIONS crystal
Ca 0.2500 0.0147 0.3174
Ca 0.2500 0.5147 0.1826
Ca 0.7500 0.9853 0.6826
Ca 0.7500 0.4853 0.8174
Al 0.7500 0.8446 0.0689
Al 0.2500 0.1554 0.9311
Al 0.2500 0.6554 0.5689
Al 0.7500 0.3446 0.4311
Au 0.2500 0.7926 0.8868
Au 0.7500 0.2074 0.1132
Au 0.7500 0.7074 0.3868
Au 0.2500 0.2926 0.6132
CELL_PARAMETERS angstrom
-0.2810 -2.3070 -3.9059
0.6182 -6.3212 3.6891
-7.7504 -0.3217 0.7476
```

Computed properties:
Energy of formation, kJ per mole of atoms: -67.10
DOS at the Fermi energy, states/eV/atom: 0.405
Density, g cm⁻³: 6.74